DFT (PBE-GGA) results for an optimized crystal structure of AcHg2Pd5.

Cell: 4.2995 6.1501 12.7171 Å, 90.00 90.00 90.00°
With the nearest neighbours (Å) after each atom.
Space group Immm (No. 71)
Unique sites:
Ac1 0.0000 0.0000 0.0000 x2  10 Pd 3.07-3.08
Hg1 0.0000 0.5000 0.2204 x4  7 Pd 2.74-2.92
Pd1 0.0000 0.2257 0.3901 x8  3 Hg 2.74-2.92, 4 Pd 2.78-2.92
Pd2 0.0000 0.5000 0.0000 x2  2 Hg 2.80, 8 Pd 2.92, 2 Ac 3.08

Spin magnetization: 0.00 μB per formula unit
Fermi-level density of states: 4.83 states/eV/cell
Uncorrected energy: -0.15586 Ha/atom
Crystal system: orthorhombic
E_form: -0.407 eV per atom